1.
The following is a GGA-PBE calculation of an optimized crystal structure of CsKTl, from Alexandria.

Computed properties:
**Size of the total moment**: 0.0 μB per formula unit
**Space group**: No. 12
**Offset from the most stable computed form**: 6.0 meV/atom
**Energy of formation from the pure elements**: -0.06 eV/atom

Structure (POSCAR):
```
CsKTl
1.0
5.276 0.000 -1.258
-0.278 7.406 -1.165
-0.446 0.064 9.816
Cs K Tl
2 2 2
Cartesian
2.910 2.119 0.514
1.641 5.352 6.879
4.018 1.200 5.156
0.534 6.270 2.237
3.622 4.539 3.496
0.929 2.931 3.896
```

=====

2.
The following is a GGA-PBE calculation of an optimized crystal structure of CsKTl, from Alexandria.

Computed properties:
**Size of the total moment**: 0.2 μB per formula unit
**Space group**: No. 146
**Offset from the most stable computed form**: 95.4 meV/atom
**Energy of formation from the pure elements**: 0.03 eV/atom

Structure (POSCAR):
```
CsKTl
1.0
8.827 0.000 0.000
4.413 7.644 0.000
4.413 2.548 8.622
Tl Cs K
3 3 3
Cartesian
4.413 2.548 3.674
8.827 5.096 0.122
4.413 2.548 0.636
7.550 7.633 6.464
11.663 4.934 6.464
7.268 2.721 6.464
6.029 5.541 2.272
9.841 2.451 2.272
10.611 7.297 2.272
```

=====

3.
The following is a GGA-PBE calculation of an optimized crystal structure of Cs12K6Tl, from Alexandria.

Computed properties:
**Size of the total moment**: 0.0 μB per formula unit
**Space group**: No. 148
**Energy of formation from the pure elements**: 0.04 eV/atom

Structure (POSCAR):
```
Cs12K6Tl
1.0
-6.401 -7.247 -7.568
-4.857 -5.987 9.557
-9.489 7.789 0.282
Cs Tl K
12 1 6
Cartesian
-12.170 -2.218 -3.013
-10.293 -7.036 2.580
-8.732 -5.649 -1.936
-10.745 5.384 3.012
-10.002 -10.830 -0.741
-9.185 -4.682 -6.873
-8.577 -3.228 5.284
-10.454 1.590 -0.309
-6.886 -7.741 6.796
-13.861 2.295 -4.525
-12.015 0.203 4.207
-11.562 -0.764 9.144
0.000 0.000 0.000
-14.003 -4.476 4.277
-14.185 -5.747 -0.428
-15.238 -1.176 0.905
-6.562 0.301 2.699
-6.744 -0.970 -2.005
-5.509 -4.270 1.366
```

=====

4.
The following is a GGA-PBE calculation of an optimized crystal structure of CsK3Tl8, from Alexandria.

Computed properties:
**Size of the total moment**: 0.0 μB per formula unit
**Space group**: No. 160
**Offset from the most stable computed form**: 26.2 meV/atom
**Energy of formation from the pure elements**: -0.08 eV/atom

Structure (POSCAR):
```
CsK3Tl8
1.0
6.509 0.000 1.965
2.958 5.798 1.965
0.033 0.020 11.653
K Tl Cs
3 8 1
Cartesian
4.739 2.902 7.827
0.040 0.025 11.630
3.581 2.193 11.664
5.621 5.446 10.758
5.642 5.453 4.836
6.543 4.008 13.613
7.405 2.532 10.758
4.160 2.548 3.852
8.892 5.446 11.745
7.421 2.548 4.836
1.779 1.090 5.870
8.301 5.084 7.792
```

=====

5.
The following is a GGA-PBE calculation of an optimized crystal structure of Cs2KTl16, from Alexandria.

Computed properties:
**Size of the total moment**: 0.0 μB per formula unit
**Space group**: No. 160
**Energy of formation from the pure elements**: -0.04 eV/atom

Structure (POSCAR):
```
Cs2KTl16
1.0
8.725 0.027 1.014
0.906 8.678 1.014
0.030 0.027 8.784
Cs Tl K
2 16 1
Cartesian
3.327 3.007 3.723
6.307 5.700 7.058
9.008 2.621 7.503
1.080 0.976 1.208
3.836 7.343 4.293
3.404 3.077 8.125
6.210 5.613 2.617
9.365 6.150 4.334
1.905 5.613 6.464
6.447 2.621 9.792
4.294 0.069 0.561
0.501 4.266 0.561
0.076 0.069 4.330
3.515 8.698 7.503
7.062 8.698 4.334
3.257 6.150 9.792
7.692 3.077 4.293
5.776 1.330 6.464
8.722 7.883 9.760
```

=====

6.
The following is a GGA-PBE calculation of an optimized crystal structure of Cs6KTl8, from Alexandria.

Computed properties:
**Size of the total moment**: 0.0 μB per formula unit
**Space group**: No. 148
**Energy of formation from the pure elements**: -0.03 eV/atom

Structure (POSCAR):
```
Cs6KTl8
1.0
9.079 0.346 3.615
2.574 8.714 3.615
0.445 0.346 9.762
Cs Tl K
6 8 1
Cartesian
6.938 3.819 5.215
3.157 5.782 6.820
5.160 5.587 11.776
8.940 3.624 10.172
7.741 7.771 8.729
4.356 1.635 8.262
5.949 1.719 11.831
9.818 7.633 13.789
8.155 0.881 7.499
10.155 5.341 6.831
1.943 4.064 10.160
2.280 1.773 3.203
3.942 8.525 9.492
6.149 7.686 5.160
0.000 0.000 0.000
```

=====

7.
The following is a GGA-PBE calculation of an optimized crystal structure of Cs2K5Tl4, from Alexandria.

Computed properties:
**Size of the total moment**: 0.0 μB per formula unit
**Space group**: No. 12
**Energy of formation from the pure elements**: -0.01 eV/atom

Structure (POSCAR):
```
Cs2K5Tl4
1.0
8.325 0.000 0.000
4.163 8.583 0.588
4.163 2.780 9.518
K Tl Cs
5 4 2
Cartesian
10.402 6.175 1.315
6.249 6.175 1.315
10.402 5.188 8.791
6.249 5.188 8.791
4.163 5.681 5.053
12.488 8.082 7.703
8.325 2.336 7.938
8.325 9.027 2.169
4.163 3.280 2.403
8.325 2.270 3.824
8.325 9.092 6.283
```

=====

8.
The following is a GGA-PBE calculation of an optimized crystal structure of CsK3Tl2, from Alexandria.

Computed properties:
**Size of the total moment**: 0.0 μB per formula unit
**Space group**: No. 12
**Energy of formation from the pure elements**: -0.05 eV/atom

Structure (POSCAR):
```
CsK3Tl2
1.0
-4.984 -1.518 -1.296
1.345 -6.857 -8.262
-0.802 -11.659 5.614
K Cs Tl
6 2 4
Cartesian
-2.530 -13.213 2.958
-1.911 -6.821 -6.903
-0.139 -15.469 -3.590
-3.006 -9.412 0.339
-4.301 -4.565 -0.354
-1.435 -10.622 -4.284
-4.046 -13.679 -1.785
-0.395 -6.355 -2.159
-1.439 -6.264 1.749
-3.002 -13.769 -5.694
-1.165 -15.505 0.395
-3.276 -4.528 -4.339
```

=====

9.
The following is a GGA-PBE calculation of an optimized crystal structure of Cs3KTl, from Alexandria.

Computed properties:
**Size of the total moment**: 0.0 μB per formula unit
**Space group**: No. 1
**Offset from the most stable computed form**: 0.0 meV/atom
**Energy of formation from the pure elements**: -0.03 eV/atom

Structure (POSCAR):
```
Cs3KTl
1.0
-3.287 -0.359 -4.315
9.843 -5.754 -3.608
-5.373 -10.637 4.973
Cs Tl K
6 2 2
Cartesian
-3.330 -10.153 0.061
-0.477 -13.998 1.629
-0.705 -6.082 1.158
3.614 -11.987 -1.666
0.773 -8.136 -3.225
0.993 -16.056 -2.752
0.734 -10.246 0.395
-0.442 -11.887 -1.997
5.889 -8.249 -3.705
-0.224 -3.250 -2.864
```

=====

10.
The following is a GGA-PBE calculation of an optimized crystal structure of CsK2Tl, from Alexandria.

Computed properties:
**Size of the total moment**: 0.0 μB per formula unit
**Space group**: No. 123
**Offset from the most stable computed form**: 8.2 meV/atom
**Energy of formation from the pure elements**: 0.01 eV/atom

Structure (POSCAR):
```
CsK2Tl
1.0
-0.129 4.065 2.360
-4.356 -0.990 1.468
4.102 -4.984 8.811
K Tl Cs
2 1 1
Cartesian
3.383 -4.111 7.267
0.719 -0.874 1.544
-2.243 1.537 1.914
-0.192 -0.955 6.319
```

=====

11.
The following is a GGA-PBE calculation of an optimized crystal structure of Cs3K7Tl, from Alexandria.

Computed properties:
**Size of the total moment**: 0.0 μB per formula unit
**Space group**: No. 8
**Energy of formation from the pure elements**: 0.02 eV/atom

Structure (POSCAR):
```
Cs3K7Tl
1.0
-1.026 -5.838 6.426
2.374 -3.186 -7.787
12.164 -0.977 2.727
K Cs Tl
7 3 1
Cartesian
3.763 -1.149 0.686
12.344 -6.048 -2.387
3.252 -5.775 -0.300
3.455 -2.782 -3.852
1.633 -4.203 3.765
10.499 -7.487 5.326
9.977 -9.251 0.660
7.627 -4.577 -1.739
6.440 -5.503 3.223
11.639 -4.739 1.900
1.486 -8.895 -1.304
```

=====

12.
The following is a GGA-PBE calculation of an optimized crystal structure of CsK4Tl, from Alexandria.

Computed properties:
**Size of the total moment**: 1.0 μB per formula unit
**Space group**: No. 216
**Offset from the most stable computed form**: 144.6 meV/atom
**Energy of formation from the pure elements**: 0.13 eV/atom

Structure (POSCAR):
```
CsK4Tl
1.0
-2.960 5.637 5.263
-7.560 3.132 -1.125
-6.112 -1.999 5.185
K Cs Tl
4 1 1
Cartesian
-7.326 5.256 3.215
-10.424 4.243 5.843
-6.592 2.656 6.413
-8.923 1.386 3.176
-4.158 1.692 2.331
0.000 0.000 0.000
```